a:
Ho6In5Pb PBE optimized geometry; calculated volume = 341 Å³/cell; symmetry = C2/m (12)
1.0
-4.894 -3.577 -7.873
-0.235 -6.277 1.452
-4.830 -2.366 3.304
In Ho Pb
5 6 1
direct
0.500 0.500 0.000 In
0.500 0.836 0.327 In
0.000 0.669 0.662 In
0.000 0.331 0.338 In
0.500 0.164 0.673 In
0.254 0.576 0.336 Ho
0.250 0.252 0.000 Ho
0.746 0.087 0.336 Ho
0.254 0.913 0.664 Ho
0.750 0.748 0.000 Ho
0.746 0.424 0.664 Ho
0.000 0.000 0.000 Pb

***

b:
Ho6In5Pb PBE optimized geometry; calculated volume = 319 Å³/cell; symmetry = C2/m (12)
1.0
-2.748 -3.020 -3.476
8.812 -0.029 -2.797
-2.270 -2.918 8.474
Pb Ho In
1 6 5
direct
0.000 0.000 0.000 Pb
0.251 0.418 0.083 Ho
0.749 0.582 0.917 Ho
0.749 0.917 0.582 Ho
0.251 0.083 0.418 Ho
0.751 0.251 0.251 Ho
0.249 0.749 0.749 Ho
0.000 0.666 0.334 In
0.000 0.334 0.666 In
0.500 0.831 0.169 In
0.500 0.500 0.500 In
0.500 0.169 0.831 In

***

Order of stability, best first: b, a

***

a:
Ho3InPb2 PBE optimized geometry; calculated volume = 681 Å³/cell; symmetry = Pnma (62)
1.0
-4.094 -0.135 2.339
-5.681 -0.315 -9.963
0.485 -12.576 0.121
Ho Pb In
12 8 4
direct
0.750 0.581 0.645 Ho
0.250 0.821 0.699 Ho
0.750 0.919 0.145 Ho
0.250 0.125 0.531 Ho
0.750 0.179 0.301 Ho
0.250 0.679 0.199 Ho
0.250 0.419 0.355 Ho
0.750 0.321 0.801 Ho
0.250 0.375 0.031 Ho
0.750 0.875 0.469 Ho
0.750 0.625 0.969 Ho
0.250 0.081 0.855 Ho
0.250 0.542 0.823 Pb
0.750 0.042 0.677 Pb
0.750 0.170 0.003 Pb
0.750 0.458 0.177 Pb
0.250 0.830 0.997 Pb
0.250 0.958 0.323 Pb
0.750 0.330 0.503 Pb
0.250 0.670 0.497 Pb
0.250 0.139 0.150 In
0.750 0.861 0.850 In
0.250 0.361 0.650 In
0.750 0.639 0.350 In

***

b:
Ho3InPb2 PBE optimized geometry; calculated volume = 333 Å³/cell; symmetry = C2/c (15)
1.0
6.360 0.000 0.000
0.000 6.404 -0.041
-3.180 -1.637 8.192
Ho Pb In
6 4 2
direct
0.283 0.092 0.335 Ho
0.052 0.592 0.335 Ho
0.948 0.408 0.665 Ho
0.717 0.908 0.665 Ho
0.375 0.750 0.000 Ho
0.625 0.250 0.000 Ho
0.449 0.431 0.673 Pb
0.551 0.569 0.327 Pb
0.776 0.069 0.327 Pb
0.224 0.931 0.673 Pb
0.882 0.750 0.000 In
0.118 0.250 0.000 In

***

Order of stability, best first: b, a

***

a:
PrHoInPb PBE optimized geometry; calculated volume = 115 Å³/cell; symmetry = I-4m2 (119)
1.0
-3.953 1.706 2.627
-1.031 -4.703 1.504
5.133 2.071 1.537
Ho In Pr Pb
1 1 1 1
direct
0.250 0.750 0.500 Ho
0.000 0.000 0.000 In
0.750 0.250 0.500 Pr
0.500 0.500 0.000 Pb

***

b:
PrHoInPb PBE optimized geometry; calculated volume = 116 Å³/cell; symmetry = F-43m (216)
1.0
-4.652 0.129 2.887
-2.668 -4.654 1.102
-0.102 -1.952 5.116
Pr In Pb Ho
1 1 1 1
direct
0.250 0.250 0.250 Pr
0.500 0.500 0.500 In
0.000 0.000 0.000 Pb
0.750 0.750 0.750 Ho

***

Order of stability, best first: a, b

***

a:
HoTlInPb PBE optimized geometry; calculated volume = 108 Å³/cell; symmetry = Pmmm (47)
1.0
-2.774 -3.484 -1.601
-1.249 -1.157 4.682
-3.520 2.904 -0.221
In Tl Pb Ho
1 1 1 1
direct
0.500 0.000 0.500 In
0.000 0.000 0.000 Tl
0.500 0.500 0.000 Pb
0.000 0.500 0.500 Ho

***

b:
HoTlInPb PBE optimized geometry; calculated volume = 114 Å³/cell; symmetry = F-43m (216)
1.0
5.449 0.000 0.000
2.725 4.719 0.000
2.725 1.573 4.449
Ho Tl In Pb
1 1 1 1
direct
0.250 0.250 0.250 Ho
0.000 0.000 0.000 Tl
0.500 0.500 0.500 In
0.750 0.750 0.750 Pb

***

Order of stability, best first: a, b